Entry from Alexandria via LeMat-Bulk: a PBEsol-optimized structure of NdPO4 (SCAN).

Total energy (eV per atom): -16.4605
Raw formation energy (kJ/mol of atoms): -319.3
Total magnetic moment (μB/atom): 0.00
Calculated volume (Å³/cell): 155.4
SG: No. 141
Crystal system: tetragonal

a = 5.890 Å, b = 5.890 Å, c = 5.890 Å
α = 106.00°, β = 106.00°, γ = 116.66°
Atoms (fractional coordinates):
Nd1 0.375 0.625 0.750
Nd2 0.625 0.375 0.250
P1 0.125 0.875 0.250
P2 0.875 0.125 0.750
O1 0.142 0.720 0.422
O2 0.202 0.280 0.922
O3 0.280 0.202 0.422
O4 0.280 0.858 0.078
O5 0.720 0.142 0.922
O6 0.720 0.798 0.578
O7 0.798 0.720 0.078
O8 0.858 0.280 0.578

***

Entry from Alexandria via LeMat-Bulk: a PBEsol-optimized structure of MgHPt2 (SCAN).

Total energy (eV per atom): -37.1464
Total magnetic moment (μB/atom): 0.00
Calculated volume (Å³/cell): 51.0
SG: No. 225
Crystal system: cubic

a = 4.162 Å, b = 4.162 Å, c = 4.162 Å
α = 60.00°, β = 60.00°, γ = 60.00°
Atoms (fractional coordinates):
Mg1 0.000 0.000 0.000
H1 0.500 0.500 0.500
Pt1 0.250 0.250 0.250
Pt2 0.750 0.750 0.750

***

Entry from Alexandria via LeMat-Bulk: a PBEsol-optimized structure of Ca2TlTc (SCAN).

Total energy (eV per atom): -31.3914
Total magnetic moment (μB/atom): 0.27
Calculated volume (Å³/cell): 89.0
SG: No. 119
ΔH_f (0 K) (eV per atom): 0.29
Crystal system: tetragonal

a = 5.447 Å, b = 5.447 Å, c = 5.447 Å
α = 131.39°, β = 131.39°, γ = 71.19°
Atoms (fractional coordinates):
Ca1 0.000 0.000 0.000
Ca2 0.750 0.250 0.500
Tl1 0.250 0.750 0.500
Tc1 0.500 0.500 0.000

***

Entry from Alexandria via LeMat-Bulk: a PBEsol-optimized structure of HfSc2Cu2 (SCAN).

Total energy (eV per atom): -24.4835
Total magnetic moment (μB/atom): 0.00
Calculated volume (Å³/cell): 177.6
SG: No. 127
ΔH_f (0 K) (eV per atom): -0.17
Crystal system: tetragonal

a = 7.344 Å, b = 7.344 Å, c = 3.292 Å
α = 90.00°, β = 90.00°, γ = 90.00°
Atoms (fractional coordinates):
Hf1 0.000 0.000 0.000
Hf2 0.500 0.500 0.000
Sc1 0.167 0.333 0.500
Sc2 0.333 0.833 0.500
Sc3 0.667 0.167 0.500
Sc4 0.833 0.667 0.500
Cu1 0.126 0.626 0.000
Cu2 0.374 0.126 0.000
Cu3 0.626 0.874 0.000
Cu4 0.874 0.374 0.000

***

Entry from Alexandria via LeMat-Bulk: a PBEsol-optimized structure of ScRe3Sb (SCAN).

Total energy (eV per atom): -50.4583
Raw formation energy (kJ/mol of atoms): 241.2
Total magnetic moment (μB/atom): 0.59
Calculated volume (Å³/cell): 98.6
SG: No. 221
Crystal system: cubic

a = 4.619 Å, b = 4.619 Å, c = 4.619 Å
α = 90.00°, β = 90.00°, γ = 90.00°
Atoms (fractional coordinates):
Sc1 0.000 0.000 0.000
Re1 0.000 0.000 0.500
Re2 0.000 0.500 0.000
Re3 0.500 0.000 0.000
Sb1 0.500 0.500 0.500

***

Entry from Alexandria via LeMat-Bulk: a PBEsol-optimized structure of LaFe2Te (SCAN).

Total energy (eV per atom): -29.0368
Raw formation energy (kJ/mol of atoms): 11.3
Total magnetic moment (μB/atom): 1.07
Calculated volume (Å³/cell): 74.7
SG: No. 123
Crystal system: tetragonal

a = 4.458 Å, b = 4.458 Å, c = 3.761 Å
α = 90.00°, β = 90.00°, γ = 90.00°
Atoms (fractional coordinates):
La1 0.000 0.000 0.000
Fe1 0.000 0.500 0.500
Fe2 0.500 0.000 0.500
Te1 0.500 0.500 0.000

***

Entry from Alexandria via LeMat-Bulk: a PBEsol-optimized structure of KAl2Ir (SCAN).

Total energy (eV per atom): -23.1566
Total magnetic moment (μB/atom): 0.10
Calculated volume (Å³/cell): 73.0
SG: No. 12
ΔH_f (0 K) (eV per atom): 0.58
Crystal system: monoclinic

a = 5.692 Å, b = 5.692 Å, c = 2.689 Å
α = 99.95°, β = 99.95°, γ = 117.31°
Atoms (fractional coordinates):
K1 0.000 0.000 0.000
Al1 0.000 0.500 0.500
Al2 0.500 0.000 0.500
Ir1 0.500 0.500 0.000

***

Entry from Alexandria via LeMat-Bulk: a PBEsol-optimized structure of InPtSe4 (SCAN).

Total energy (eV per atom): -29.8249
Raw formation energy (kJ/mol of atoms): 79.5
Total magnetic moment (μB/atom): 0.00
Calculated volume (Å³/cell): 124.0
SG: No. 216
Crystal system: cubic

a = 5.598 Å, b = 5.598 Å, c = 5.598 Å
α = 60.00°, β = 60.00°, γ = 60.00°
Atoms (fractional coordinates):
In1 0.000 0.000 0.000
Pt1 0.250 0.250 0.250
Se1 0.134 0.622 0.622
Se2 0.622 0.134 0.622
Se3 0.622 0.622 0.134
Se4 0.622 0.622 0.622

***

Entry from Alexandria via LeMat-Bulk: a PBEsol-optimized structure of SrZrZn2 (SCAN).

Total energy (eV per atom): -20.2117
Total magnetic moment (μB/atom): 0.00
Calculated volume (Å³/cell): 87.3
SG: No. 123
ΔH_f (0 K) (eV per atom): -0.21
Crystal system: tetragonal

a = 3.459 Å, b = 3.459 Å, c = 7.298 Å
α = 90.00°, β = 90.00°, γ = 90.00°
Atoms (fractional coordinates):
Sr1 0.000 0.000 0.000
Zr1 0.000 0.000 0.500
Zn1 0.500 0.500 0.301
Zn2 0.500 0.500 0.699

***

Entry from Alexandria via LeMat-Bulk: a PBEsol-optimized structure of LaIrRh (SCAN).

Total energy (eV per atom): -49.3478
Total magnetic moment (μB/atom): 0.39
Calculated volume (Å³/cell): 64.1
SG: No. 216
ΔH_f (0 K) (eV per atom): -0.02
Crystal system: cubic

a = 4.492 Å, b = 4.492 Å, c = 4.492 Å
α = 60.00°, β = 60.00°, γ = 60.00°
Atoms (fractional coordinates):
La1 0.000 0.000 0.000
Ir1 0.500 0.500 0.500
Rh1 0.750 0.750 0.750

***

Entry from Alexandria via LeMat-Bulk: a PBEsol-optimized structure of CrSbF10 (SCAN).

Total energy (eV per atom): -9.9267
Raw formation energy (kJ/mol of atoms): -225.7
Total magnetic moment (μB/atom): 0.08
Calculated volume (Å³/cell): 691.3
SG: No. 14
Crystal system: monoclinic

a = 5.650 Å, b = 10.291 Å, c = 12.069 Å
α = 90.00°, β = 99.93°, γ = 90.00°
Atoms (fractional coordinates):
Cr1 0.175 0.245 0.300
Cr2 0.175 0.255 0.800
Cr3 0.825 0.745 0.200
Cr4 0.825 0.755 0.700
Sb1 0.500 0.000 0.000
Sb2 0.500 0.000 0.500
Sb3 0.500 0.500 0.000
Sb4 0.500 0.500 0.500
F1 0.021 0.696 0.623
F2 0.021 0.804 0.123
F3 0.025 0.106 0.256
F4 0.025 0.394 0.756
F5 0.079 0.173 0.678
F6 0.079 0.327 0.178
F7 0.228 0.579 0.042
F8 0.228 0.921 0.542
F9 0.246 0.057 0.070
F10 0.246 0.443 0.570
F11 0.302 0.156 0.449
F12 0.302 0.344 0.949
F13 0.326 0.650 0.449
F14 0.326 0.850 0.949
F15 0.360 0.091 0.859
F16 0.360 0.409 0.359
F17 0.422 0.572 0.855
F18 0.422 0.928 0.355
F19 0.451 0.203 0.274
F20 0.451 0.297 0.774
F21 0.549 0.703 0.226
F22 0.549 0.797 0.726
F23 0.578 0.072 0.645
F24 0.578 0.428 0.145
F25 0.640 0.591 0.641
F26 0.640 0.909 0.141
F27 0.674 0.150 0.051
F28 0.674 0.350 0.551
F29 0.698 0.656 0.051
F30 0.698 0.844 0.551
F31 0.754 0.557 0.430
F32 0.754 0.943 0.930
F33 0.772 0.079 0.458
F34 0.772 0.421 0.958
F35 0.921 0.673 0.822
F36 0.921 0.827 0.322
F37 0.975 0.606 0.244
F38 0.975 0.894 0.744
F39 0.979 0.196 0.877
F40 0.979 0.304 0.377

***

Entry from Alexandria via LeMat-Bulk: a PBEsol-optimized structure of CaZr3Hg (SCAN).

Total energy (eV per atom): -32.4307
Total magnetic moment (μB/atom): 0.48
Calculated volume (Å³/cell): 119.8
SG: No. 221
ΔH_f (0 K) (eV per atom): 1.55
Crystal system: cubic

a = 4.929 Å, b = 4.929 Å, c = 4.929 Å
α = 90.00°, β = 90.00°, γ = 90.00°
Atoms (fractional coordinates):
Ca1 0.000 0.000 0.000
Zr1 0.000 0.000 0.500
Zr2 0.000 0.500 0.000
Zr3 0.500 0.000 0.000
Hg1 0.500 0.500 0.500